Below is crystalline BeCo2Cl at its relaxed geometry, with properties calculated at the GGA-PBE level.

Cell: 2.8053 4.4443 3.8357 Å, 90.00 90.00 90.00°
Positions (direct):
Cl: 0.0000 0.5000 0.5000
Be: 0.5000 0.0000 0.5000
Co: 0.0000 0.0000 0.0000
Co: 0.5000 0.5000 0.0000

Calculated values
E_form (uncorrected): 0.577 eV/atom
offset from the most stable computed form: 466.0 meV/atom